# 1
The following is a PBE calculation of crystalline Nd2BeGePd6 at its relaxed geometry, from Alexandria via LeMat-Bulk.

Geometry as CIF:
```
data_Nd2BeGePd6
_chemical_formula_sum 'Nd2 Be1 Ge1 Pd6'
_symmetry_space_group_name_H-M 'P -1'
_symmetry_Int_Tables_number 2
_cell_length_a 5.814
_cell_length_b 5.950
_cell_length_c 7.013
_cell_angle_alpha 67.54
_cell_angle_beta 65.54
_cell_angle_gamma 60.76
loop_
_symmetry_equiv_pos_as_xyz
'x,y,z'
'-x,-y,-z'
loop_
_atom_site_label
_atom_site_fract_x
_atom_site_fract_y
_atom_site_fract_z
Nd1 0.221 0.244 0.316
Be1 0.000 0.000 0.000
Ge1 0.500 0.500 0.500
Pd1 0.242 0.679 0.835
Pd2 0.250 0.222 0.789
Pd3 0.265 0.779 0.208
```



# 2
# LaCuOs2 (PBE, optimized geometry)
data_LaCuOs2
_chemical_formula_sum 'La3 Cu3 Os6'
_symmetry_space_group_name_H-M 'R -3 m'
_symmetry_Int_Tables_number 166
_symmetry_space_group_name_Hall '-R 3 2"'
_cell_length_a 2.8288
_cell_length_b 2.8288
_cell_length_c 29.1162
_cell_angle_alpha 90.00
_cell_angle_beta 90.00
_cell_angle_gamma 120.00
loop_
_atom_site_label
_atom_site_fract_x
_atom_site_fract_y
_atom_site_fract_z
La1 0.0000 0.0000 0.0000
Cu1 0.0000 0.0000 0.5000
Os1 0.0000 0.0000 0.2379
# ΔE to the lowest computed polymorph: 185 kJ/mol of formula units



The formation energy results, record by record, are as follows: -0.66; 0.74 eV per atom.
The density of states at the Fermi level results, record by record, are as follows: 0.39; 1.04 states/eV per atom.